Density functional theory data (PBE) for crystalline Ac2GdZr at its relaxed geometry.

DOS(E_F): 5.34 states/eV per cell
Space group: R-3m, No. 166
E_tot: -7.25 eV/atom

a = 3.608 Å, b = 3.608 Å, c = 12.768 Å
α = 81.88°, β = 81.88°, γ = 60.00°
Element x y z (fractional)
1 Ac 0.085 0.085 0.746
2 Ac 0.915 0.915 0.254
3 Gd 0.500 0.500 0.500
4 Zr 0.000 0.000 0.000

=====

Density functional theory data (PBE) for crystalline AcGdZr at its relaxed geometry.

DOS(E_F): 4.27 states/eV per cell
Space group: I4mm, No. 107
E_tot: -8.73 eV/atom

a = 3.541 Å, b = 3.541 Å, c = 8.119 Å
α = 102.60°, β = 102.60°, γ = 90.00°
Element x y z (fractional)
1 Ac 0.990 0.990 0.980
2 Gd 0.684 0.684 0.367
3 Zr 0.326 0.326 0.652

=====

Q: Number 1 is which compound?
A: Ac2GdZr

=====

Repeat the first record exactly.
Density functional theory data (PBE) for crystalline Ac2GdZr at its relaxed geometry.

DOS(E_F): 5.34 states/eV per cell
Space group: R-3m, No. 166
E_tot: -7.25 eV/atom

a = 3.608 Å, b = 3.608 Å, c = 12.768 Å
α = 81.88°, β = 81.88°, γ = 60.00°
Element x y z (fractional)
1 Ac 0.085 0.085 0.746
2 Ac 0.915 0.915 0.254
3 Gd 0.500 0.500 0.500
4 Zr 0.000 0.000 0.000

=====

Q: What is the formula in the second record?
A: AcGdZr

=====

Q: What is the formula in the second record?
A: AcGdZr